Compound: Tl2Sn3Pb2
Source: the Alexandria database
Functional: PBE-GGA
Structure: relaxed

Properties
polymorph energy (0 for the lowest one): 0.26 kcal/mol of atoms

abc: 11.4175 4.6200 8.1260
angles: 90.00 103.16 90.00
Last column: nearest neighbours and their distance in Å.
Space group C2/m (No. 12)
Symmetry-distinct sites (fractional):
Tl  0.0650  0.0000  0.2113 x4  7 Sn 3.38-3.67, 1 Tl 3.42, 4 Pb 3.44-3.61
Sn  0.0000  0.5000  0.5000 x2  6 Pb 3.36-3.74, 4 Tl 3.49, 2 Sn 3.52
Sn  0.1514  0.5000  0.9288 x4  3 Sn 3.25-3.52, 4 Tl 3.38-3.55, 3 Pb 3.44-3.45
Pb  0.2121  0.0000  0.6461 x4  6 Sn 3.36-3.74, 4 Tl 3.44-3.61, 2 Pb 3.56